## LuNi2H (PBE)

Data for crystalline LuNi2H at its relaxed geometry.

Cell lengths 7.116, 7.116, 7.116 Å; angles 23.83, 23.83, 23.83 degrees
Fractional positions:
Lu 0.000 0.000 0.000
Ni 0.123 0.123 0.123
Ni 0.877 0.877 0.877
H 0.500 0.500 0.500

Output
Uncorrected energy = -4.4899 eV/atom
M_tot = 0.00 μB/cell
Fermi-level density of states = 2.26 states/eV/f.u.
Space group = R-3m
Volume = 12.92 Å³ per atom